Compound: TlHgPtF6
Source: Alexandria
Functional: PBE-GGA
Structure: relaxed

Calculated values
Total magnetization in μB per cell: 1.88
Crystal system: trigonal
Calculated volume in Å³/atom: 19.6
Formation energy from raw total energies in eV/atom: -1.410
DOS at the Fermi energy in states/eV/atom: 0.300

```
data_TlHgPtF6
_chemical_formula_sum 'Tl2 Hg2 Pt2 F12'
_cell_length_a 6.4932
_cell_length_b 6.4932
_cell_length_c 9.6837
_cell_angle_alpha 90.00
_cell_angle_beta 90.00
_cell_angle_gamma 120.00
_space_group_name_H-M_alt 'P -3 1 c'
_space_group_IT_number 163
_space_group_name_Hall '-P 3 2c'
loop_
_atom_site_label
_atom_site_fract_x
_atom_site_fract_y
_atom_site_fract_z
_atom_site_occupancy
Tl1 0.0000 0.0000 0.0000 1
Hg1 0.3333 0.6667 0.2500 1
Pt1 0.3333 0.6667 0.7500 1
F1 0.0803 0.4133 0.6366 1
```